Li3Dy2Pd4 after structural relaxation, computed with PBE.

Calculated values
DFT formation energy = -0.6372 eV/atom
Density = 8.210 g cm⁻³
Magnetization = 0.00 μB per formula unit

Unit cell a=5.5679 b=7.5681 c=7.9124 alpha=90.00 beta=110.60 gamma=90.00
Last column: nearest neighbours and their distance in Å.
Fractional positions:
1 Li 0.0000 0.0000 0.0000  6 Pd 2.46-2.61
2 Li 0.5000 0.5000 0.0000  6 Pd 2.46-2.61
3 Li 0.5326 0.7500 0.5652  5 Pd 2.50-2.68, 2 Li 2.78
4 Li 0.9674 0.2500 0.4348  5 Pd 2.50-2.68, 2 Li 2.78
5 Li 0.4674 0.2500 0.4348  5 Pd 2.50-2.68, 2 Li 2.78
6 Li 0.0326 0.7500 0.5652  5 Pd 2.50-2.68, 2 Li 2.78
7 Dy 0.1128 0.5876 0.2256  8 Pd 2.97-3.26, 6 Li 3.13-3.31
8 Dy 0.8872 0.4124 0.7744  8 Pd 2.97-3.26, 6 Li 3.13-3.31
9 Dy 0.3872 0.0876 0.7744  8 Pd 2.97-3.26, 6 Li 3.13-3.31
10 Dy 0.6128 0.9124 0.2256  8 Pd 2.97-3.26, 6 Li 3.13-3.31
11 Pd 0.7015 0.7500 0.9030  3 Li 2.46-2.50
12 Pd 0.7985 0.2500 0.0970  3 Li 2.46-2.50
13 Pd 0.2985 0.2500 0.0970  3 Li 2.46-2.50
14 Pd 0.2015 0.7500 0.9030  3 Li 2.46-2.50
15 Pd 0.1756 0.9688 0.3512  5 Li 2.61-2.68
16 Pd 0.8244 0.0312 0.6488  5 Li 2.61-2.68
17 Pd 0.3244 0.4688 0.6488  5 Li 2.61-2.68
18 Pd 0.6756 0.5312 0.3512  5 Li 2.61-2.68

LiDy2Pd8 after structural relaxation, computed with PBE.

Calculated values
DFT formation energy = -0.5846 eV/atom
Density = 10.452 g cm⁻³
Magnetization = 0.00 μB per formula unit

Unit cell a=4.4024 b=6.0227 c=7.6381 alpha=103.59 beta=106.75 gamma=90.00
Last column: nearest neighbours and their distance in Å.
Fractional positions:
1 Li 0.5000 0.0000 0.0000  4 Pd 2.40-2.59
2 Dy 0.7920 0.3201 0.5839  10 Pd 2.80-3.09
3 Dy 0.2080 0.6799 0.4161  10 Pd 2.80-3.09
4 Pd 0.4049 0.5760 0.8098  1 Li 2.59, 3 Pd 2.77-2.82
5 Pd 0.6485 0.8977 0.2970  1 Li 2.40
6 Pd 0.8444 0.8210 0.6888  7 Pd 2.76-3.01, 3 Dy 2.92-2.95
7 Pd 0.9767 0.2647 0.9535  7 Pd 2.75-2.89, 2 Li 2.79, 1 Dy 2.80
8 Pd 0.1556 0.1790 0.3112  7 Pd 2.76-3.01, 3 Dy 2.92-2.95
9 Pd 0.3515 0.1023 0.7030  1 Li 2.40
10 Pd 0.5951 0.4240 0.1902  1 Li 2.59, 3 Pd 2.77-2.82
11 Pd 0.0233 0.7353 0.0465  7 Pd 2.75-2.89, 2 Li 2.79, 1 Dy 2.80

Question: Among the records above, which one has the lowest density?
Answer: Li3Dy2Pd4

Question: The lowest density belongs to which entry?
Answer: Li3Dy2Pd4

Question: What is the formula in the second record?
Answer: LiDy2Pd8